The following is a GGA+U calculation of Nb2Co2O5 after structural relaxation, from the Open Quantum Materials Database. Values from VASP.

Raw total energy   -7.42 eV/atom
E above lowest polymorph   0 meV per atom

The structure in Quantum ESPRESSO input format:
```
&SYSTEM
  ibrav = 0, nat = 9, ntyp = 3
/
ATOMIC_SPECIES
Nb 92.91 Nb.upf
Co 58.93 Co.upf
O 16.00 O.upf
CELL_PARAMETERS angstrom
3.971 0.000 0.000
0.000 3.971 0.000
0.000 0.000 7.141
ATOMIC_POSITIONS crystal
Nb 0.000 0.000 0.218
Nb 0.000 0.000 0.782
Co 0.500 0.500 0.000
Co 0.500 0.500 0.500
O 0.000 0.000 0.500
O 0.000 0.500 0.203
O 0.000 0.500 0.797
O 0.500 0.000 0.203
O 0.500 0.000 0.797
```